Entry 1:
Material: Ni3Sb4O6F6
Method: DFT, SCAN
State: single point on PBEsol structure

Cell and atoms, written as CIF:
```
data_Ni3Sb4O6F6
_symmetry_space_group_name_H-M 'I -4 3 m'
_symmetry_Int_Tables_number 217
_symmetry_space_group_name_Hall 'I -4 2 3'
_cell_length_a 8.028
_cell_length_b 8.028
_cell_length_c 8.028
_cell_angle_alpha 90.00
_cell_angle_beta 90.00
_cell_angle_gamma 90.00
loop_
_atom_site_label
_atom_site_type_symbol
_atom_site_fract_x
_atom_site_fract_y
_atom_site_fract_z
Ni1 Ni 0.000 0.000 0.500
Sb1 Sb 0.165 0.165 0.165
O1 O 0.000 0.000 0.254
F1 F 0.000 0.250 0.500
```

## Properties
* uncorrected formation energy: -1843 meV per atom


Entry 2:
Material: NiSeOF2
Method: DFT, SCAN
State: single point on PBEsol structure

Cell and atoms, written as CIF:
```
data_NiSeOF2
_symmetry_space_group_name_H-M 'P 4/m m m'
_symmetry_Int_Tables_number 123
_symmetry_space_group_name_Hall '-P 4 2'
_cell_length_a 3.760
_cell_length_b 3.760
_cell_length_c 3.995
_cell_angle_alpha 90.00
_cell_angle_beta 90.00
_cell_angle_gamma 90.00
loop_
_atom_site_label
_atom_site_type_symbol
_atom_site_fract_x
_atom_site_fract_y
_atom_site_fract_z
Ni1 Ni 0.000 0.000 0.000
Se1 Se 0.500 0.500 0.500
O1 O 0.000 0.000 0.500
F1 F 0.000 0.500 0.000
```

## Properties
* uncorrected formation energy: -792 meV per atom


Entry 3:
Material: TaNiOF2
Method: DFT, SCAN
State: single point on PBEsol structure

Cell and atoms, written as CIF:
```
data_TaNiOF2
_symmetry_space_group_name_H-M 'P 4/m m m'
_symmetry_Int_Tables_number 123
_symmetry_space_group_name_Hall '-P 4 2'
_cell_length_a 3.396
_cell_length_b 3.396
_cell_length_c 6.100
_cell_angle_alpha 90.00
_cell_angle_beta 90.00
_cell_angle_gamma 90.00
loop_
_atom_site_label
_atom_site_type_symbol
_atom_site_fract_x
_atom_site_fract_y
_atom_site_fract_z
Ta1 Ta 0.000 0.000 0.000
Ni1 Ni 0.500 0.500 0.500
O1 O 0.500 0.500 0.000
F1 F 0.000 0.500 0.500
```

## Properties
* uncorrected formation energy: -693 meV per atom


Entry 4:
Material: TiNiOF2
Method: DFT, SCAN
State: single point on PBEsol structure

Cell and atoms, written as CIF:
```
data_TiNiOF2
_symmetry_space_group_name_H-M 'P 4/m m m'
_symmetry_Int_Tables_number 123
_symmetry_space_group_name_Hall '-P 4 2'
_cell_length_a 3.926
_cell_length_b 3.926
_cell_length_c 3.792
_cell_angle_alpha 90.00
_cell_angle_beta 90.00
_cell_angle_gamma 90.00
loop_
_atom_site_label
_atom_site_type_symbol
_atom_site_fract_x
_atom_site_fract_y
_atom_site_fract_z
Ti1 Ti 0.000 0.000 0.000
Ni1 Ni 0.500 0.500 0.500
O1 O 0.000 0.000 0.500
F1 F 0.000 0.500 0.000
```

## Properties
* uncorrected formation energy: -2037 meV per atom


Entry 5:
Material: TlNiOF2
Method: DFT, SCAN
State: single point on PBEsol structure

Cell and atoms, written as CIF:
```
data_TlNiOF2
_symmetry_space_group_name_H-M 'P 4/m m m'
_symmetry_Int_Tables_number 123
_symmetry_space_group_name_Hall '-P 4 2'
_cell_length_a 4.202
_cell_length_b 4.202
_cell_length_c 3.590
_cell_angle_alpha 90.00
_cell_angle_beta 90.00
_cell_angle_gamma 90.00
loop_
_atom_site_label
_atom_site_type_symbol
_atom_site_fract_x
_atom_site_fract_y
_atom_site_fract_z
Tl1 Tl 0.000 0.000 0.000
Ni1 Ni 0.500 0.500 0.500
O1 O 0.500 0.500 0.000
F1 F 0.000 0.500 0.500
```

## Properties
* uncorrected formation energy: -1524 meV per atom
* ΔE to the lowest computed polymorph: 0 meV per atom


Entry 6:
Material: TlNiOF2
Method: DFT, SCAN
State: single point on PBEsol structure

Cell and atoms, written as CIF:
```
data_TlNiOF2
_symmetry_space_group_name_H-M 'P 4/m m m'
_symmetry_Int_Tables_number 123
_symmetry_space_group_name_Hall '-P 4 2'
_cell_length_a 4.398
_cell_length_b 4.398
_cell_length_c 4.130
_cell_angle_alpha 90.00
_cell_angle_beta 90.00
_cell_angle_gamma 90.00
loop_
_atom_site_label
_atom_site_type_symbol
_atom_site_fract_x
_atom_site_fract_y
_atom_site_fract_z
Tl1 Tl 0.000 0.000 0.000
Ni1 Ni 0.500 0.500 0.500
O1 O 0.000 0.000 0.500
F1 F 0.000 0.500 0.000
```

## Properties
* uncorrected formation energy: -582 meV per atom
* ΔE to the lowest computed polymorph: 941 meV per atom


Entry 7:
Material: Ni2OsF
Method: DFT, SCAN
State: single point on PBEsol structure

Cell and atoms, written as CIF:
```
data_Ni2OsF
_symmetry_space_group_name_H-M 'F m -3 m'
_symmetry_Int_Tables_number 225
_symmetry_space_group_name_Hall '-F 4 2 3'
_cell_length_a 5.693
_cell_length_b 5.693
_cell_length_c 5.693
_cell_angle_alpha 90.00
_cell_angle_beta 90.00
_cell_angle_gamma 90.00
loop_
_atom_site_label
_atom_site_type_symbol
_atom_site_fract_x
_atom_site_fract_y
_atom_site_fract_z
Ni1 Ni 0.250 0.250 0.250
Os1 Os 0.000 0.000 0.000
F1 F 0.000 0.000 0.500
```

## Properties
* uncorrected formation energy: 523 meV per atom


Entry 8:
Material: NiPF3
Method: DFT, SCAN
State: single point on PBEsol structure

Cell and atoms, written as CIF:
```
data_NiPF3
_symmetry_space_group_name_H-M 'P m -3 m'
_symmetry_Int_Tables_number 221
_symmetry_space_group_name_Hall '-P 4 2 3'
_cell_length_a 3.953
_cell_length_b 3.953
_cell_length_c 3.953
_cell_angle_alpha 90.00
_cell_angle_beta 90.00
_cell_angle_gamma 90.00
loop_
_atom_site_label
_atom_site_type_symbol
_atom_site_fract_x
_atom_site_fract_y
_atom_site_fract_z
Ni1 Ni 0.000 0.000 0.000
P1 P 0.500 0.500 0.500
F1 F 0.000 0.000 0.500
```

## Properties
* uncorrected formation energy: -1029 meV per atom


Entry 9:
Material: Ni2PRhF
Method: DFT, SCAN
State: single point on PBEsol structure

Cell and atoms, written as CIF:
```
data_Ni2PRhF
_symmetry_space_group_name_H-M 'P 4/m m m'
_symmetry_Int_Tables_number 123
_symmetry_space_group_name_Hall '-P 4 2'
_cell_length_a 4.505
_cell_length_b 4.505
_cell_length_c 3.735
_cell_angle_alpha 90.00
_cell_angle_beta 90.00
_cell_angle_gamma 90.00
loop_
_atom_site_label
_atom_site_type_symbol
_atom_site_fract_x
_atom_site_fract_y
_atom_site_fract_z
Ni1 Ni 0.000 0.500 0.000
P1 P 0.000 0.000 0.500
Rh1 Rh 0.500 0.500 0.000
F1 F 0.500 0.500 0.500
```

## Properties
* uncorrected formation energy: 660 meV per atom


Entry 10:
Material: Ni3PbF
Method: DFT, SCAN
State: single point on PBEsol structure

Cell and atoms, written as CIF:
```
data_Ni3PbF
_symmetry_space_group_name_H-M 'P m -3 m'
_symmetry_Int_Tables_number 221
_symmetry_space_group_name_Hall '-P 4 2 3'
_cell_length_a 4.064
_cell_length_b 4.064
_cell_length_c 4.064
_cell_angle_alpha 90.00
_cell_angle_beta 90.00
_cell_angle_gamma 90.00
loop_
_atom_site_label
_atom_site_type_symbol
_atom_site_fract_x
_atom_site_fract_y
_atom_site_fract_z
Ni1 Ni 0.000 0.000 0.500
Pb1 Pb 0.500 0.500 0.500
F1 F 0.000 0.000 0.000
```

## Properties
* uncorrected formation energy: 125 meV per atom


Entry 11:
Material: NiPbF3
Method: DFT, SCAN
State: single point on PBEsol structure

Cell and atoms, written as CIF:
```
data_NiPbF3
_symmetry_space_group_name_H-M 'P m -3 m'
_symmetry_Int_Tables_number 221
_symmetry_space_group_name_Hall '-P 4 2 3'
_cell_length_a 4.071
_cell_length_b 4.071
_cell_length_c 4.071
_cell_angle_alpha 90.00
_cell_angle_beta 90.00
_cell_angle_gamma 90.00
loop_
_atom_site_label
_atom_site_type_symbol
_atom_site_fract_x
_atom_site_fract_y
_atom_site_fract_z
Ni1 Ni 0.000 0.000 0.000
Pb1 Pb 0.500 0.500 0.500
F1 F 0.000 0.000 0.500
```

## Properties
* uncorrected formation energy: -1819 meV per atom


Entry 12:
Material: NiPd2F
Method: DFT, SCAN
State: single point on PBEsol structure

Cell and atoms, written as CIF:
```
data_NiPd2F
_symmetry_space_group_name_H-M 'F m -3 m'
_symmetry_Int_Tables_number 225
_symmetry_space_group_name_Hall '-F 4 2 3'
_cell_length_a 5.841
_cell_length_b 5.841
_cell_length_c 5.841
_cell_angle_alpha 90.00
_cell_angle_beta 90.00
_cell_angle_gamma 90.00
loop_
_atom_site_label
_atom_site_type_symbol
_atom_site_fract_x
_atom_site_fract_y
_atom_site_fract_z
Ni1 Ni 0.000 0.000 0.000
Pd1 Pd 0.250 0.250 0.250
F1 F 0.000 0.000 0.500
```

## Properties
* uncorrected formation energy: -110 meV per atom